# Sr3Hg2Ge3 PBE-GGA relaxed
data_Sr3Hg2Ge3
_chemical_formula_sum 'Sr12 Hg8 Ge12'
_cell_length_a 4.881
_cell_length_b 11.314
_cell_length_c 15.832
_cell_angle_alpha 90.00
_cell_angle_beta 90.00
_cell_angle_gamma 90.00
_symmetry_space_group_name_H-M 'C m c m'
_symmetry_Int_Tables_number 63
_symmetry_space_group_name_Hall '-C 2c 2'
loop_
_atom_site_label
_atom_site_fract_x
_atom_site_fract_y
_atom_site_fract_z
_atom_site_occupancy
Sr1 0.000 0.105 0.108 1
Sr2 0.000 0.380 0.250 1
Hg1 0.000 0.192 0.602 1
Ge1 0.000 0.328 0.750 1
Ge2 0.000 0.393 0.030 1
# E_form   -0.5014 eV per atom
# E_tot   -94.05 eV per cell

---

# Sr2Hg2Ge PBE-GGA relaxed
data_Sr2Hg2Ge
_chemical_formula_sum 'Sr4 Hg4 Ge2'
_cell_length_a 8.316
_cell_length_b 8.316
_cell_length_c 4.432
_cell_angle_alpha 90.00
_cell_angle_beta 90.00
_cell_angle_gamma 90.00
_symmetry_space_group_name_H-M 'P 4/m b m'
_symmetry_Int_Tables_number 127
_symmetry_space_group_name_Hall '-P 4 2ab'
loop_
_atom_site_label
_atom_site_fract_x
_atom_site_fract_y
_atom_site_fract_z
_atom_site_occupancy
Sr1 0.179 0.321 0.000 1
Hg1 0.125 0.625 0.500 1
Ge1 0.000 0.000 0.500 1
# E above lowest polymorph   0.73 eV per formula unit
# E_form   -0.3550 eV per atom
# E_tot   -20.72 eV per cell